Compound: TlBiIF2
Source: the Alexandria database
Functional: PBE-GGA
Structure: optimized geometry

Cell and atoms, written as POSCAR:
```
TlBiIF2
1.0
4.7366 0.0000 0.0000
0.0000 4.7366 0.0000
0.0000 0.0000 6.8191
Tl Bi I F
1 1 1 2
Direct
0.0000 0.0000 0.0000
0.5000 0.5000 0.5000
0.5000 0.5000 0.0000
0.0000 0.5000 0.5000
0.5000 0.0000 0.5000
```

Calculated values
Crystal system: tetragonal
Total magnetization, μB per cell: 0.00
Formation energy without anion corrections, eV/f.u.: -6.55